The following is a DFT calculation (PBE) of a geometry-optimized Pm6PrNdTm2 structure.

Results
Spin magnetization   0.00 μB/f.u.
E_tot   -0.3371 Ry/atom
Energy relative to the elements   0.114 eV/atom

Cell lengths 8.9145, 8.9145, 9.6577 Å; angles 93.51, 93.51, 116.43 degrees
Sites, in units of the cell vectors:
Pm 0.0114 0.5576 0.1804
Pm 0.1079 0.7589 0.5568
Pm 0.2411 0.8921 0.9432
Pm 0.2958 0.5185 0.3826
Pm 0.4424 0.9886 0.3196
Pm 0.4815 0.7042 0.1174
Pm 0.5185 0.2958 0.8826
Pm 0.5576 0.0114 0.6804
Pm 0.7042 0.4815 0.6174
Pm 0.7589 0.1079 0.0568
Pm 0.8921 0.2411 0.4432
Pm 0.9886 0.4424 0.8196
Pr 0.0349 0.9651 0.2500
Pr 0.9651 0.0349 0.7500
Nd 0.4078 0.5922 0.7500
Nd 0.5922 0.4078 0.2500
Tm 0.2003 0.2967 0.0509
Tm 0.2967 0.2003 0.5509
Tm 0.7033 0.7997 0.4491
Tm 0.7997 0.7033 0.9491